1:
KScCr: optimized geometry, PBE.

- Calculated volume: 27.82 Å³ per atom
- Mass density: 2.71 Mg/m³

abc: 5.5450 5.5450 3.1349
angles: 90.00 90.00 120.00
Space group P3m1 (No. 156)
Unique sites:
1 K 0.0000 0.0000 0.0000 (multiplicity 1)
2 Sc 0.6667 0.3333 0.3165 (multiplicity 1)
3 Cr 0.3333 0.6667 0.6948 (multiplicity 1)

2:
KScCr: optimized geometry, PBE.

- Calculated volume: 29.21 Å³ per atom
- Mass density: 2.58 Mg/m³

abc: 3.379 3.379 15.348
angles: 90.00 90.00 90.00
Space group I4mm (No. 107)
Unique sites:
1 K 0.000 0.000 0.000 (multiplicity 2)
2 Sc 0.000 0.000 0.278 (multiplicity 2)
3 Cr 0.000 0.000 0.678 (multiplicity 2)

3:
KScCr: optimized geometry, PBE.

- Calculated volume: 34.09 Å³ per atom
- Mass density: 2.21 Mg/m³

abc: 7.423 7.423 7.423
angles: 90.00 90.00 90.00
Space group F-43m (No. 216)
Unique sites:
1 K 0.000 0.000 0.000 (multiplicity 4)
2 Sc 0.250 0.250 0.750 (multiplicity 4)
3 Cr 0.250 0.250 0.250 (multiplicity 4)

Stability check: which of them is most stable? 2.

1:
KCrSe4: optimized geometry, PBE.

- Calculated volume: 28.49 Å³ per atom
- Mass density: 3.95 Mg/m³

abc: 14.100 8.410 5.767
angles: 90.00 90.36 90.00
Space group C2/m (No. 12)
Unique sites:
1 K 0.167 0.000 0.287 (multiplicity 4)
2 Cr 0.002 0.500 0.753 (multiplicity 4)
3 Se 0.000 0.262 0.500 (multiplicity 4)
4 Se 0.124 0.309 0.890 (multiplicity 8)
5 Se 0.174 0.500 0.203 (multiplicity 4)

2:
KCrSe4: optimized geometry, PBE.

- Calculated volume: 24.16 Å³ per atom
- Mass density: 4.66 Mg/m³

abc: 8.338 8.338 8.338
angles: 90.00 90.00 90.00
Space group F-43m (No. 216)
Unique sites:
1 K 0.000 0.000 0.000 (multiplicity 4)
2 Cr 0.250 0.250 0.250 (multiplicity 4)
3 Se 0.124 0.124 0.624 (multiplicity 16)

Stability check: which of them is most stable? 1.

1:
KCr3Si: optimized geometry, PBE.

- Calculated volume: 24.65 Å³ per atom
- Mass density: 3.01 Mg/m³

abc: 4.977 4.977 4.977
angles: 90.00 90.00 90.00
Space group Pm-3m (No. 221)
Unique sites:
1 K 0.000 0.000 0.000 (multiplicity 1)
2 Cr 0.000 0.500 0.500 (multiplicity 3)
3 Si 0.500 0.500 0.500 (multiplicity 1)

2:
KCr3Si: optimized geometry, PBE.

- Calculated volume: 15.25 Å³ per atom
- Mass density: 4.86 Mg/m³

abc: 4.240 4.240 4.240
angles: 90.00 90.00 90.00
Space group Pm-3m (No. 221)
Unique sites:
1 K 0.000 0.000 0.000 (multiplicity 1)
2 Cr 0.000 0.000 0.500 (multiplicity 3)
3 Si 0.500 0.500 0.500 (multiplicity 1)

Stability check: which of them is most stable? 1.

1:
K3SrCr: optimized geometry, PBE.

- Calculated volume: 93.16 Å³ per atom
- Mass density: 0.92 Mg/m³

abc: 7.752 7.752 7.752
angles: 90.00 90.00 90.00
Space group Pm-3m (No. 221)
Unique sites:
1 K 0.000 0.000 0.500 (multiplicity 3)
2 Sr 0.000 0.000 0.000 (multiplicity 1)
3 Cr 0.500 0.500 0.500 (multiplicity 1)

2:
K3SrCr: optimized geometry, PBE.

- Calculated volume: 62.24 Å³ per atom
- Mass density: 1.37 Mg/m³

abc: 6.777 6.777 6.777
angles: 90.00 90.00 90.00
Space group Pm-3m (No. 221)
Unique sites:
1 K 0.000 0.000 0.500 (multiplicity 3)
2 Sr 0.500 0.500 0.500 (multiplicity 1)
3 Cr 0.000 0.000 0.000 (multiplicity 1)

Stability check: which of them is most stable? 2.

1:
KTaCr2: optimized geometry, PBE.

- Calculated volume: 18.97 Å³ per atom
- Mass density: 7.09 Mg/m³

abc: 6.720 6.720 6.720
angles: 90.00 90.00 90.00
Space group F-43m (No. 216)
Unique sites:
1 K 0.000 0.000 0.000 (multiplicity 4)
2 Ta 0.250 0.250 0.750 (multiplicity 4)
3 Cr 0.000 0.000 0.500 (multiplicity 4)
4 Cr 0.250 0.250 0.250 (multiplicity 4)

2:
KTaCr2: optimized geometry, PBE.

- Calculated volume: 19.60 Å³ per atom
- Mass density: 6.86 Mg/m³

abc: 2.856 5.235 10.483
angles: 90.00 90.00 90.00
Space group Imm2 (No. 44)
Unique sites:
1 K 0.000 0.000 0.000 (multiplicity 2)
2 Ta 0.000 0.500 0.795 (multiplicity 2)
3 Cr 0.000 0.000 0.543 (multiplicity 2)
4 Cr 0.000 0.500 0.227 (multiplicity 2)

3:
KTaCr2: optimized geometry, PBE.

- Calculated volume: 18.17 Å³ per atom
- Mass density: 7.40 Mg/m³

abc: 3.040 4.713 10.147
angles: 90.00 90.00 90.00
Space group Cmm2 (No. 35)
Unique sites:
1 K 0.000 0.000 0.000 (multiplicity 2)
2 Ta 0.000 0.500 0.674 (multiplicity 2)
3 Cr 0.000 0.000 0.461 (multiplicity 2)
4 Cr 0.000 0.500 0.299 (multiplicity 2)

Stability check: which of them is most stable? 3.

1:
KTaCr2: optimized geometry, PBE.

- Calculated volume: 21.21 Å³ per atom
- Mass density: 6.34 Mg/m³

abc: 3.0660 3.0660 31.2691
angles: 90.00 90.00 120.00
Space group R-3m (No. 166, hexagonal axes)
Unique sites:
1 K 0.0000 0.0000 0.0000 (multiplicity 3)
2 Ta 0.0000 0.0000 0.5000 (multiplicity 3)
3 Cr 0.0000 0.0000 0.2330 (multiplicity 6)

2:
KTaCr2: optimized geometry, PBE.

- Calculated volume: 22.46 Å³ per atom
- Mass density: 5.99 Mg/m³

abc: 7.340 2.882 8.505
angles: 90.00 93.03 90.00
Space group Cm (No. 8)
Unique sites:
1 K 0.000 0.000 0.000 (multiplicity 2)
2 Ta 0.223 0.000 0.625 (multiplicity 2)
3 Cr 0.263 0.500 0.339 (multiplicity 2)
4 Cr 0.491 0.000 0.456 (multiplicity 2)

Stability check: which of them is most stable? 2.

1:
KTaCr2: optimized geometry, PBE.

- Calculated volume: 22.48 Å³ per atom
- Mass density: 5.98 Mg/m³

abc: 3.419 3.419 7.689
angles: 90.00 90.00 90.00
Space group P4/mmm (No. 123)
Unique sites:
1 K 0.000 0.000 0.000 (multiplicity 1)
2 Ta 0.000 0.000 0.500 (multiplicity 1)
3 Cr 0.500 0.500 0.366 (multiplicity 2)

2:
KTaCr2: optimized geometry, PBE.

- Calculated volume: 19.32 Å³ per atom
- Mass density: 6.96 Mg/m³

abc: 6.761 6.761 6.761
angles: 90.00 90.00 90.00
Space group Fm-3m (No. 225)
Unique sites:
1 K 0.000 0.000 0.000 (multiplicity 4)
2 Ta 0.000 0.000 0.500 (multiplicity 4)
3 Cr 0.250 0.250 0.250 (multiplicity 8)

3:
KTaCr2: optimized geometry, PBE.

- Calculated volume: 19.90 Å³ per atom
- Mass density: 6.76 Mg/m³

abc: 3.050 4.861 5.370
angles: 90.00 90.00 90.00
Space group Pmmm (No. 47)
Unique sites:
1 K 0.000 0.000 0.000 (multiplicity 1)
2 Ta 0.500 0.000 0.500 (multiplicity 1)
3 Cr 0.000 0.500 0.500 (multiplicity 1)
4 Cr 0.500 0.500 0.000 (multiplicity 1)

4:
KTaCr2: optimized geometry, PBE.

- Calculated volume: 18.53 Å³ per atom
- Mass density: 7.26 Mg/m³

abc: 2.9099 2.9099 30.3168
angles: 90.00 90.00 120.00
Space group R3m (No. 160, hexagonal axes)
Unique sites:
1 K 0.0000 0.0000 0.0000 (multiplicity 3)
2 Ta 0.0000 0.0000 0.2247 (multiplicity 3)
3 Cr 0.0000 0.0000 0.4847 (multiplicity 3)
4 Cr 0.0000 0.0000 0.7671 (multiplicity 3)

Stability check: which of them is most stable? 1.

1:
KTaCr2: optimized geometry, PBE.

- Calculated volume: 20.38 Å³ per atom
- Mass density: 6.60 Mg/m³

abc: 2.966 2.966 9.263
angles: 90.00 90.00 90.00
Space group P4mm (No. 99)
Unique sites:
1 K 0.000 0.000 0.000 (multiplicity 1)
2 Ta 0.500 0.500 0.361 (multiplicity 1)
3 Cr 0.000 0.000 0.548 (multiplicity 1)
4 Cr 0.500 0.500 0.686 (multiplicity 1)

2:
KTaCr2: optimized geometry, PBE.

- Calculated volume: 18.46 Å³ per atom
- Mass density: 7.29 Mg/m³

abc: 3.127 4.691 10.067
angles: 90.00 90.00 90.00
Space group Cmmm (No. 65)
Unique sites:
1 K 0.000 0.000 0.000 (multiplicity 2)
2 Ta 0.000 0.000 0.500 (multiplicity 2)
3 Cr 0.000 0.500 0.300 (multiplicity 4)

Stability check: which of them is most stable? 1.